# 1
Here is NaV2Ag after structural relaxation from Alexandria via LeMat-Bulk. Energies are from GGA-PBE.

abc: 2.779 2.822 19.111
angles: 91.54 90.79 113.14
Fractional positions:
Na (0.000, 0.000, 0.000)
Na (0.451, 0.492, 0.829)
V (0.146, 0.975, 0.261)
V (0.219, 0.578, 0.568)
V (0.222, 0.048, 0.463)
V (0.678, 0.505, 0.357)
Ag (0.588, 0.479, 0.138)
Ag (0.877, 0.001, 0.691)

Summary:
formation enthalpy at 0 K = 0.240 eV per atom
space-group type = No. 1
energy above the most stable polymorph in this dataset = 91 meV per atom
size of the total moment = 0.00 Bohr magnetons per cell

***

# 2
Here is BaAgRu2 after structural relaxation from Alexandria via LeMat-Bulk. Energies are from GGA-PBE.

abc: 6.237 6.237 6.237
angles: 141.81 135.83 59.78
Fractional positions:
Ba (0.000, 0.000, 0.000)
Ag (0.735, 0.235, 0.500)
Ru (0.264, 0.764, 0.500)
Ru (0.366, 0.366, 0.000)

Summary:
formation enthalpy at 0 K = 0.662 eV per atom
space-group type = No. 44
energy above the most stable polymorph in this dataset = 363 meV per atom
size of the total moment = 0.31 Bohr magnetons per cell

***

# 3
Here is Sr3Ru4O12 after structural relaxation from Alexandria via LeMat-Bulk. Energies are from GGA-PBE.

abc: 6.816 6.816 6.816
angles: 109.47 109.47 109.47
Fractional positions:
Sr (0.000, 0.500, 0.500)
Sr (0.500, 0.000, 0.500)
Sr (0.500, 0.500, 0.000)
Ru (0.000, 0.000, 0.500)
Ru (0.000, 0.500, 0.000)
Ru (0.500, 0.000, 0.000)
Ru (0.500, 0.500, 0.500)
O (0.041, 0.765, 0.277)
O (0.235, 0.277, 0.512)
O (0.235, 0.723, 0.959)
O (0.277, 0.041, 0.765)
O (0.277, 0.512, 0.235)
O (0.488, 0.765, 0.723)
O (0.512, 0.235, 0.277)
O (0.723, 0.488, 0.765)
O (0.723, 0.959, 0.235)
O (0.765, 0.277, 0.041)
O (0.765, 0.723, 0.488)
O (0.959, 0.235, 0.723)

Summary:
space-group type = No. 204
size of the total moment = 5.80 Bohr magnetons per cell
E = -130.9 eV per cell

***

# 4
Here is NpFeRu2 after structural relaxation from Alexandria via LeMat-Bulk. Energies are from GGA-PBE.

abc: 7.397 7.397 7.397
angles: 25.70 25.70 25.70
Fractional positions:
Np (0.000, 0.000, 0.000)
Fe (0.500, 0.500, 0.500)
Ru (0.250, 0.250, 0.250)
Ru (0.750, 0.750, 0.750)

Summary:
formation enthalpy at 0 K = 0.381 eV per atom
space-group type = No. 166
size of the total moment = 1.33 Bohr magnetons per cell

***

# 5
Here is CsRbGaI3 after structural relaxation from Alexandria via LeMat-Bulk. Energies are from GGA-PBE.

abc: 10.639 10.639 10.071
angles: 103.68 103.68 32.95
Fractional positions:
Cs (0.146, 0.146, 0.073)
Cs (0.854, 0.854, 0.927)
Rb (0.154, 0.154, 0.574)
Rb (0.846, 0.846, 0.426)
Ga (0.500, 0.500, 0.347)
Ga (0.500, 0.500, 0.653)
I (0.000, 0.000, 0.263)
I (0.000, 0.000, 0.737)
I (0.342, 0.342, 0.662)
I (0.344, 0.344, 0.185)
I (0.656, 0.656, 0.815)
I (0.658, 0.658, 0.338)

Summary:
space-group type = No. 12
size of the total moment = 0.00 Bohr magnetons per cell
E = -32.2 eV per cell

***

# 6
Here is Ac2TlInIr after structural relaxation from Alexandria via LeMat-Bulk. Energies are from GGA-PBE.

abc: 8.401 4.591 8.411
angles: 90.00 110.27 90.00
Fractional positions:
Ac (0.027, 0.250, 0.220)
Ac (0.330, 0.750, 0.605)
Ac (0.670, 0.250, 0.395)
Ac (0.973, 0.750, 0.780)
Tl (0.331, 0.750, 0.182)
Tl (0.669, 0.250, 0.818)
In (0.341, 0.250, 0.942)
In (0.659, 0.750, 0.058)
Ir (0.098, 0.250, 0.619)
Ir (0.902, 0.750, 0.381)

Summary:
formation enthalpy at 0 K = -0.506 eV per atom
space-group type = No. 11
size of the total moment = 0.00 Bohr magnetons per cell